# Li2PmI5

Crystalline Li2PmI5 at its relaxed geometry (GGA-PBE, Alexandria).

abc: 7.922 7.922 15.195
angles: 90.00 90.00 135.86
Positions (direct):
Li1 0.156 0.844 0.528
Li2 0.156 0.844 0.972
Li3 0.844 0.156 0.028
Li4 0.844 0.156 0.472
Pm1 0.202 0.798 0.250
Pm2 0.798 0.202 0.750
I1 0.045 0.955 0.120
I2 0.045 0.955 0.380
I3 0.237 0.763 0.750
I4 0.324 0.676 0.074
I5 0.324 0.676 0.426
I6 0.676 0.324 0.574
I7 0.676 0.324 0.926
I8 0.763 0.237 0.250
I9 0.955 0.045 0.620
I10 0.955 0.045 0.880

Summary:
For the distance to the lowest polymorph of the same formula, the calculation gives 0.000 eV/atom. The total magnetic moment comes out at 0.00 μB/f.u.